[1]
Below is Y3Hg2 after structural relaxation, with properties calculated at the PBE level.

Properties
For the total energy, the calculation gives -0.316 Ry/atom. The space group is Fdd2. The formation energy comes out at -0.298 eV per atom.

```
Y3Hg2
1.0
5.3832 -3.1544 7.2150
0.7885 1.0184 8.3508
-0.6463 -5.9503 1.9975
Y Hg
6 4
direct
0.4399 0.3555 0.4725
0.7320 0.4725 0.3555
0.8945 0.8101 0.5180
0.7775 0.5180 0.8101
0.0842 0.9158 0.9158
0.3342 0.1658 0.1658
0.5463 0.3554 0.9007
0.1975 0.9007 0.3554
0.8946 0.7037 0.0525
0.3493 0.0525 0.7037
```

[2]
Below is Tb3Zn5O12 after structural relaxation, with properties calculated at the PBE level.

Properties
For the total energy, the calculation gives -0.428 Ry/atom. The space group is Ia-3d. As for the formation energy without anion corrections: -1.837 eV/atom.

```
Tb3Zn5O12
1.0
10.8867 0.0000 0.0000
-3.6289 10.2641 0.0000
-3.6289 -5.1320 8.8889
Tb Zn O
12 20 48
direct
0.7500 0.3750 0.1250
0.8750 0.7500 0.1250
0.3750 0.7500 0.6250
0.2500 0.1250 0.3750
0.8750 0.1250 0.2500
0.3750 0.6250 0.2500
0.6250 0.3750 0.7500
0.1250 0.8750 0.7500
0.7500 0.8750 0.6250
0.6250 0.2500 0.3750
0.1250 0.2500 0.8750
0.2500 0.6250 0.8750
0.1250 0.3750 0.2500
0.0000 0.5000 0.0000
0.0000 0.0000 0.0000
0.3750 0.2500 0.1250
0.5000 0.0000 0.5000
0.5000 0.5000 0.0000
0.1250 0.7500 0.3750
0.7500 0.1250 0.8750
0.7500 0.6250 0.3750
0.3750 0.1250 0.7500
0.6250 0.8750 0.2500
0.5000 0.5000 0.5000
0.5000 0.0000 0.0000
0.0000 0.0000 0.5000
0.2500 0.3750 0.6250
0.2500 0.8750 0.1250
0.0000 0.5000 0.5000
0.8750 0.2500 0.6250
0.6250 0.7500 0.8750
0.8750 0.6250 0.7500
0.7108 0.1280 0.0365
0.3256 0.5365 0.4084
0.9635 0.3720 0.2892
0.5365 0.2108 0.1280
0.5828 0.7108 0.6744
0.9635 0.5916 0.1744
0.3256 0.7892 0.4172
0.0916 0.9172 0.1280
0.5916 0.9635 0.6744
0.7108 0.5828 0.1744
0.7892 0.4635 0.3720
0.8256 0.9084 0.0365
0.1280 0.7108 0.5365
0.3720 0.4084 0.0828
0.0828 0.9084 0.3720
0.4172 0.1280 0.5916
0.0828 0.1744 0.2108
0.4635 0.6744 0.0916
0.8256 0.9172 0.2892
0.1280 0.4172 0.0916
0.3720 0.9635 0.7892
0.5916 0.6280 0.4172
0.9084 0.8256 0.5365
0.7892 0.3256 0.9172
0.4084 0.3720 0.5828
0.0916 0.1744 0.4635
0.2108 0.6744 0.0828
0.1744 0.0828 0.7108
0.6280 0.0365 0.2108
0.8720 0.5828 0.9084
0.5365 0.3256 0.9084
0.5828 0.8720 0.4084
0.9172 0.8256 0.7892
0.9172 0.0916 0.6280
0.8720 0.2892 0.4635
0.1744 0.0916 0.9635
0.6280 0.5916 0.9172
0.4084 0.0365 0.3256
0.2892 0.4172 0.8256
0.2108 0.5365 0.6280
0.9084 0.0828 0.8720
0.6744 0.2108 0.5828
0.4635 0.7892 0.8720
0.0365 0.4084 0.8256
0.4172 0.2892 0.3256
0.0365 0.6280 0.7108
0.6744 0.4635 0.5916
0.2892 0.8720 0.9635
```

[3]
Below is Ta2SiMo after structural relaxation, with properties calculated at the PBE level.

Properties
For the total energy, the calculation gives -0.752 Ry/atom. The space group is P4mm. As for the formation energy without anion corrections: -0.238 eV/atom.

```
Ta2SiMo
1.0
-2.4405 0.1995 -2.2841
-2.1781 -1.2436 2.2186
-1.2482 5.4079 1.8059
Mo Si Ta
1 1 2
direct
0.0000 0.0000 0.5225
0.5000 0.5000 0.7424
0.0000 0.0000 0.9804
0.5000 0.5000 0.2546
```

[4]
Below is BaScGe2 after structural relaxation, with properties calculated at the PBE level.

Properties
For the total energy, the calculation gives -0.339 Ry/atom. The space group is Fm-3m. The formation energy comes out at -0.244 eV per atom. For the excess energy over the best structure of this formula in the dataset, the calculation gives 74 kJ/mol of formula units.

```
BaScGe2
1.0
0.0000 3.7110 3.7110
3.7110 0.0000 3.7110
3.7110 3.7110 0.0000
Sc Ge Ba
1 2 1
direct
0.0000 0.0000 0.0000
0.2500 0.2500 0.2500
0.7500 0.7500 0.7500
0.5000 0.5000 0.5000
```

[5]
Below is Pr5Sn10Ir4 after structural relaxation, with properties calculated at the PBE level.

Properties
For the total energy, the calculation gives -0.433 Ry/atom. The space group is P4/mbm. The formation energy comes out at -0.666 eV per atom.

```
Pr5Sn10Ir4
1.0
-7.5849 3.5662 -11.4286
-11.8558 -4.1187 6.5832
-0.5523 4.3405 1.7210
Pr Sn Ir
10 20 8
direct
0.5000 0.5000 0.0000
0.0000 0.0000 0.0000
0.6771 0.1771 0.5000
0.3229 0.8229 0.5000
0.1771 0.3229 0.5000
0.8229 0.6771 0.5000
0.8878 0.3878 0.5000
0.1122 0.6122 0.5000
0.3878 0.1122 0.5000
0.6122 0.8878 0.5000
0.5703 0.0703 0.0000
0.4297 0.9297 0.0000
0.0703 0.4297 0.0000
0.9297 0.5703 0.0000
0.6554 0.6984 0.0000
0.3446 0.3016 0.0000
0.1554 0.8016 0.0000
0.8446 0.1984 0.0000
0.3016 0.6554 0.0000
0.6984 0.3446 0.0000
0.1984 0.1554 0.0000
0.8016 0.8446 0.0000
0.6631 0.5030 0.5000
0.3369 0.4970 0.5000
0.1631 0.9970 0.5000
0.8369 0.0030 0.5000
0.4970 0.6631 0.5000
0.5030 0.3369 0.5000
0.0030 0.1631 0.5000
0.9970 0.8369 0.5000
0.7461 0.5271 0.0000
0.2539 0.4729 0.0000
0.2461 0.9729 0.0000
0.7539 0.0271 0.0000
0.4729 0.7461 0.0000
0.5271 0.2539 0.0000
0.0271 0.2461 0.0000
0.9729 0.7539 0.0000
```

[6]
Below is GaNiHPt2 after structural relaxation, with properties calculated at the PBE level.

Properties
For the total energy, the calculation gives -0.379 Ry/atom. The space group is P4/mmm.

```
GaNiHPt2
1.0
3.9979 0.0000 0.0000
0.0000 3.9979 0.0000
0.0000 0.0000 3.7227
Ni Ga Pt H
1 1 2 1
direct
0.0000 0.0000 0.5000
0.5000 0.5000 0.5000
0.0000 0.5000 0.0000
0.5000 0.0000 0.0000
0.0000 0.0000 0.0000
```

Q: Which DOS(E_F) values were calculated for the entries above? A: 5.580; 15.532; 2.400; 2.392; 10.223; 1.323, in states/eV/f.u..